# PBE-GGA Be2CrPt2, relaxed
# DFT formation energy   -231 kJ/mol of formula units
# ΔE to the lowest computed polymorph   0 meV per atom
# N(E_F)   5.2 states/eV per cell
# Total DFT energy (no corrections)   -6.311 eV/atom
data_Be2CrPt2
_cell_length_a 6.6992
_cell_length_b 6.6992
_cell_length_c 2.7600
_cell_angle_alpha 90.00
_cell_angle_beta 90.00
_cell_angle_gamma 90.00
_space_group_name_H-M_alt 'P 4/m b m'
_space_group_IT_number 127
_space_group_name_Hall '-P 4 2ab'
loop_
_atom_site_label
_atom_site_type_symbol
_atom_site_fract_x
_atom_site_fract_y
_atom_site_fract_z
Be1 Be 0.1229 0.3771 0.0000
Cr1 Cr 0.0000 0.0000 0.0000
Pt1 Pt 0.1717 0.6717 0.5000



# PBE-GGA BeCrPt2, relaxed
# DFT formation energy   -132 kJ/mol of formula units
# N(E_F)   4.5 states/eV per cell
# Total DFT energy (no corrections)   -6.700 eV/atom
data_BeCrPt2
_cell_length_a 5.5981
_cell_length_b 6.8076
_cell_length_c 2.8259
_cell_angle_alpha 90.00
_cell_angle_beta 90.00
_cell_angle_gamma 90.00
_space_group_name_H-M_alt 'C m m m'
_space_group_IT_number 65
_space_group_name_Hall '-C 2 2'
loop_
_atom_site_label
_atom_site_type_symbol
_atom_site_fract_x
_atom_site_fract_y
_atom_site_fract_z
Be1 Be 0.0000 0.0000 0.0000
Cr1 Cr 0.0000 0.5000 0.0000
Pt1 Pt 0.2500 0.2500 0.5000



# PBE-GGA BeCrPt, relaxed
# DFT formation energy   -50 kJ/mol of formula units
# ΔE to the lowest computed polymorph   197 meV per atom
# N(E_F)   2.5 states/eV per cell
# Total DFT energy (no corrections)   -6.637 eV/atom
data_BeCrPt
_cell_length_a 4.0076
_cell_length_b 4.0076
_cell_length_c 2.6273
_cell_angle_alpha 90.00
_cell_angle_beta 90.00
_cell_angle_gamma 120.00
_space_group_name_H-M_alt 'P 3 m 1'
_space_group_IT_number 156
_space_group_name_Hall 'P 3 -2"'
loop_
_atom_site_label
_atom_site_type_symbol
_atom_site_fract_x
_atom_site_fract_y
_atom_site_fract_z
Be1 Be 0.0000 0.0000 0.0000
Cr1 Cr 0.3333 0.6667 0.5024
Pt1 Pt 0.6667 0.3333 0.0029



# PBE-GGA BeCrPt, relaxed
# DFT formation energy   478 kJ/mol of formula units
# ΔE to the lowest computed polymorph   2022 meV per atom
# N(E_F)   6.1 states/eV per cell
# Total DFT energy (no corrections)   -4.813 eV/atom
data_BeCrPt
_cell_length_a 3.8285
_cell_length_b 3.8285
_cell_length_c 9.2994
_cell_angle_alpha 90.00
_cell_angle_beta 90.00
_cell_angle_gamma 120.00
_space_group_name_H-M_alt 'P 63/m m c'
_space_group_IT_number 194
_space_group_name_Hall '-P 6c 2c'
loop_
_atom_site_label
_atom_site_type_symbol
_atom_site_fract_x
_atom_site_fract_y
_atom_site_fract_z
Be1 Be 0.3333 0.6667 0.2500
Cr1 Cr 0.0000 0.0000 0.2500
Pt1 Pt 0.0000 0.0000 0.0000



# PBE-GGA BeCrPt, relaxed
# DFT formation energy   -96 kJ/mol of formula units
# ΔE to the lowest computed polymorph   39 meV per atom
# N(E_F)   4.7 states/eV per cell
# Total DFT energy (no corrections)   -6.796 eV/atom
data_BeCrPt
_cell_length_a 2.9208
_cell_length_b 4.1831
_cell_length_c 11.6963
_cell_angle_alpha 90.00
_cell_angle_beta 90.00
_cell_angle_gamma 90.00
_space_group_name_H-M_alt 'A m m 2'
_space_group_IT_number 38
_space_group_name_Hall 'A 2 -2'
loop_
_atom_site_label
_atom_site_type_symbol
_atom_site_fract_x
_atom_site_fract_y
_atom_site_fract_z
Be1 Be 0.0000 0.0000 0.0000
Be2 Be 0.0000 0.0000 0.3232
Cr1 Cr 0.0000 0.0000 0.6315
Cr2 Cr 0.5000 0.0000 0.4948
Pt1 Pt 0.5000 0.0000 0.1656
Pt2 Pt 0.5000 0.0000 0.8399



# PBE-GGA BeCrPt2, relaxed
# DFT formation energy   -105 kJ/mol of formula units
# N(E_F)   3.2 states/eV per cell
# Total DFT energy (no corrections)   -6.629 eV/atom
data_BeCrPt2
_cell_length_a 2.7317
_cell_length_b 2.7317
_cell_length_c 6.8369
_cell_angle_alpha 90.00
_cell_angle_beta 90.00
_cell_angle_gamma 90.00
_space_group_name_H-M_alt 'P 4 m m'
_space_group_IT_number 99
_space_group_name_Hall 'P 4 -2'
loop_
_atom_site_label
_atom_site_type_symbol
_atom_site_fract_x
_atom_site_fract_y
_atom_site_fract_z
Be1 Be 0.0000 0.0000 0.0000
Cr1 Cr 0.5000 0.5000 0.2183
Pt1 Pt 0.0000 0.0000 0.4736
Pt2 Pt 0.5000 0.5000 0.8018



# PBE-GGA BeCrPt2, relaxed
# DFT formation energy   68 kJ/mol of formula units
# N(E_F)   11.6 states/eV per cell
# Total DFT energy (no corrections)   -6.182 eV/atom
data_BeCrPt2
_cell_length_a 3.8342
_cell_length_b 3.8342
_cell_length_c 15.9495
_cell_angle_alpha 90.00
_cell_angle_beta 90.00
_cell_angle_gamma 90.00
_space_group_name_H-M_alt 'I -4 2 d'
_space_group_IT_number 122
_space_group_name_Hall 'I -4 2bw'
loop_
_atom_site_label
_atom_site_type_symbol
_atom_site_fract_x
_atom_site_fract_y
_atom_site_fract_z
Be1 Be 0.0000 0.0000 0.0000
Cr1 Cr 0.0000 0.0000 0.5000
Pt1 Pt 0.2443 0.2500 0.1250



# PBE-GGA BeCrPt, relaxed
# DFT formation energy   -80 kJ/mol of formula units
# ΔE to the lowest computed polymorph   96 meV per atom
# N(E_F)   6.3 states/eV per cell
# Total DFT energy (no corrections)   -6.739 eV/atom
data_BeCrPt
_cell_length_a 12.2723
_cell_length_b 2.7351
_cell_length_c 4.3277
_cell_angle_alpha 90.00
_cell_angle_beta 97.68
_cell_angle_gamma 90.00
_space_group_name_H-M_alt 'C 1 m 1'
_space_group_IT_number 8
_space_group_name_Hall 'C -2y'
loop_
_atom_site_label
_atom_site_type_symbol
_atom_site_fract_x
_atom_site_fract_y
_atom_site_fract_z
Be1 Be 0.0000 0.0000 0.0000
Be2 Be 0.1568 0.0000 0.6362
Cr1 Cr 0.1635 0.5000 0.1480
Cr2 Cr 0.3043 0.5000 0.4358
Pt1 Pt 0.0010 0.5000 0.5088
Pt2 Pt 0.3366 0.0000 0.9455



Question: Which value of DFT formation energy does entry 2 give?
Answer: -132 kJ/mol of formula units



Copy entry 7 word for word.
# PBE-GGA BeCrPt2, relaxed
# DFT formation energy   68 kJ/mol of formula units
# N(E_F)   11.6 states/eV per cell
# Total DFT energy (no corrections)   -6.182 eV/atom
data_BeCrPt2
_cell_length_a 3.8342
_cell_length_b 3.8342
_cell_length_c 15.9495
_cell_angle_alpha 90.00
_cell_angle_beta 90.00
_cell_angle_gamma 90.00
_space_group_name_H-M_alt 'I -4 2 d'
_space_group_IT_number 122
_space_group_name_Hall 'I -4 2bw'
loop_
_atom_site_label
_atom_site_type_symbol
_atom_site_fract_x
_atom_site_fract_y
_atom_site_fract_z
Be1 Be 0.0000 0.0000 0.0000
Cr1 Cr 0.0000 0.0000 0.5000
Pt1 Pt 0.2443 0.2500 0.1250



Question: What is the formula in the seventh record?
Answer: BeCrPt2



Repeat the sixth record exactly.
# PBE-GGA BeCrPt2, relaxed
# DFT formation energy   -105 kJ/mol of formula units
# N(E_F)   3.2 states/eV per cell
# Total DFT energy (no corrections)   -6.629 eV/atom
data_BeCrPt2
_cell_length_a 2.7317
_cell_length_b 2.7317
_cell_length_c 6.8369
_cell_angle_alpha 90.00
_cell_angle_beta 90.00
_cell_angle_gamma 90.00
_space_group_name_H-M_alt 'P 4 m m'
_space_group_IT_number 99
_space_group_name_Hall 'P 4 -2'
loop_
_atom_site_label
_atom_site_type_symbol
_atom_site_fract_x
_atom_site_fract_y
_atom_site_fract_z
Be1 Be 0.0000 0.0000 0.0000
Cr1 Cr 0.5000 0.5000 0.2183
Pt1 Pt 0.0000 0.0000 0.4736
Pt2 Pt 0.5000 0.5000 0.8018